(1)
BeCu3 | PBEsol | relaxed

a b c (Å): 3.4756 3.4756 7.3916
angles (deg): 103.60 103.60 90.00
Fractional coordinates of all 8 atoms:
Cu 0.2500 0.7500 0.5000
Cu 0.8762 0.8762 0.7525
Cu 0.5000 0.0000 0.0000
Cu 0.1238 0.1238 0.2475
Cu 0.7500 0.2500 0.5000
Cu 0.0000 0.5000 0.0000
Be 0.6281 0.6281 0.2561
Be 0.3719 0.3719 0.7439

SG: I4/mmm, No. 139
DFT total energy: -4.275 eV per atom
ΔH_f (0 K): -24 meV/atom

(2)
Zn2PW | PBEsol | relaxed

a b c (Å): 3.7150 3.7150 4.7633
angles (deg): 112.95 112.95 90.00
Fractional coordinates of all 4 atoms:
Zn 0.7500 0.2500 0.5000
Zn 0.0000 0.0000 0.0000
P 0.5000 0.5000 0.0000
W 0.2500 0.7500 0.5000

SG: I-4m2, No. 119
DFT total energy: -5.466 eV per atom
ΔH_f (0 K): 225 meV/atom

(3)
La4AsRh | PBEsol | relaxed

a b c (Å): 6.0745 6.0745 6.0745
angles (deg): 60.00 60.00 60.00
Fractional coordinates of all 6 atoms:
La 0.3746 0.8763 0.3746
La 0.8763 0.3746 0.3746
La 0.3746 0.3746 0.8763
La 0.3746 0.3746 0.3746
As 0.0000 0.0000 0.0000
Rh 0.7500 0.7500 0.7500

SG: F-43m, No. 216
DFT total energy: -5.447 eV per atom
ΔH_f (0 K): 325 meV/atom

(4)
TaTlZn2 | PBEsol | relaxed

a b c (Å): 3.8717 3.8717 5.3163
angles (deg): 111.35 111.35 90.00
Fractional coordinates of all 4 atoms:
Zn 0.7500 0.2500 0.5000
Zn 0.0000 0.0000 0.0000
Tl 0.2500 0.7500 0.5000
Ta 0.5000 0.5000 0.0000

Excess energy over the best structure of this formula in the dataset: 0.0 meV/atom
SG: I-4m2, No. 119
DFT total energy: -4.249 eV per atom
ΔH_f (0 K): 337 meV/atom

(5)
TaNbV2 | PBEsol | relaxed

a b c (Å): 4.4304 4.4304 4.4304
angles (deg): 60.00 60.00 60.00
Fractional coordinates of all 4 atoms:
Nb 0.0000 0.0000 0.0000
V 0.7500 0.7500 0.7500
V 0.2500 0.2500 0.2500
Ta 0.5000 0.5000 0.5000

SG: Fm-3m, No. 225
DFT total energy: -10.614 eV per atom
ΔH_f (0 K): 47 meV/atom

(6)
Tb2Pr | PBEsol | relaxed

a b c (Å): 3.5562 3.5562 8.8306
angles (deg): 78.38 78.38 60.00
Fractional coordinates of all 3 atoms:
Tb 0.2241 0.2241 0.3277
Tb 0.9982 0.9982 0.0055
Pr 0.7777 0.7777 0.6669

SG: R3m, No. 160
DFT total energy: -5.054 eV per atom
ΔH_f (0 K): 14 meV/atom

(7)
AlCrRe | PBEsol | relaxed

a b c (Å): 2.9809 2.9809 4.9211
angles (deg): 107.63 107.63 90.00
Fractional coordinates of all 3 atoms:
Re 0.3214 0.3214 0.6427
Cr 0.6748 0.6748 0.3495
Al 0.0039 0.0039 0.0077

SG: I4mm, No. 107
DFT total energy: -9.432 eV per atom
ΔH_f (0 K): -210 meV/atom

(8)
CsCoPd2N | PBEsol | relaxed

a b c (Å): 3.3835 5.1259 5.1259
angles (deg): 90.00 90.00 90.00
Each line ends with the local moment (μB).
Fractional coordinates of all 5 atoms:
Pd 0.0000 0.0000 0.5000  0.11
Pd 0.0000 0.5000 0.0000  0.11
Co 0.0000 0.0000 0.0000  0.51
Cs 0.5000 0.5000 0.5000  0.01
N 0.5000 0.0000 0.0000  -0.03

SG: P4/mmm, No. 123
DFT total energy: -5.239 eV per atom

> What is the DFT total energy in the second record?

-5.466 eV per atom

> Among the records above, which one has the lowest DFT total energy?

TaNbV2